Crystalline NdYEr2As4 at its relaxed geometry, computed with PBE-GGA.

Structure (CIF):
```
data_NdYEr2As4
_chemical_formula_sum 'Nd1 Y1 Er2 As4'
_cell_length_a 7.1716
_cell_length_b 4.1443
_cell_length_c 7.1725
_cell_angle_alpha 90.00
_cell_angle_beta 109.48
_cell_angle_gamma 90.00
_space_group_name_H-M_alt 'P 1 2/m 1'
_space_group_IT_number 10
_space_group_name_Hall '-P 2y'
loop_
_atom_site_label
_atom_site_fract_x
_atom_site_fract_y
_atom_site_fract_z
Nd1 0.0000 0.0000 0.0000
Y1 0.0000 0.5000 0.5000
Er1 0.5000 0.0000 0.5000
Er2 0.5000 0.5000 0.0000
As1 0.2560 0.0000 0.7481
As2 0.2588 0.5000 0.2569
```

Formation energy from the elements ... -12.15 eV/f.u.
Magnetic moment ... 0.00 μB/f.u.